# 1
Material: Mn5VB2W2
Method: DFT, GGA-PBE
State: optimized geometry

Calculated values
D(E_F): 0.93 states/eV/atom
ΔH_f (0 K): -301 meV/atom

a b c (Å): 8.631 8.631 2.917
angles (deg): 90.00 90.00 90.00
Space group P4/mbm (No. 127)
Unique sites:
Mn1 0.000 0.500 0.000 (multiplicity 2)
Mn2 0.067 0.214 0.000 (multiplicity 8)
V1 0.000 0.000 0.500 (multiplicity 2)
B1 0.122 0.378 0.500 (multiplicity 4)
W1 0.177 0.677 0.500 (multiplicity 4)

***

# 2
Material: LiScGe2Te
Method: DFT, GGA-PBE
State: optimized geometry

Calculated values
D(E_F): 0.77 states/eV/atom
Uncorrected formation energy: 446 meV/atom

a b c (Å): 5.488 5.488 4.616
angles (deg): 90.00 90.00 90.00
Space group P4/mmm (No. 123)
Unique sites:
Li1 0.000 0.000 0.000 (multiplicity 1)
Sc1 0.500 0.500 0.000 (multiplicity 1)
Ge1 0.000 0.500 0.500 (multiplicity 2)
Te1 0.000 0.000 0.500 (multiplicity 1)

***

# 3
Material: FeNi2W
Method: DFT, GGA-PBE
State: optimized geometry

Calculated values
D(E_F): 1.28 states/eV/atom
ΔH_f (0 K): -5 meV/atom
ΔE to the lowest computed polymorph: 0.014 eV/atom

a b c (Å): 3.662 3.662 7.173
angles (deg): 90.00 90.00 90.00
Space group I-4m2 (No. 119)
Unique sites:
Fe1 0.000 0.000 0.000 (multiplicity 2)
Ni1 0.000 0.000 0.500 (multiplicity 2)
Ni2 0.000 0.500 0.750 (multiplicity 2)
W1 0.000 0.500 0.250 (multiplicity 2)

***

# 4
Material: TbPm5Y4
Method: DFT, GGA-PBE
State: optimized geometry

Calculated values
D(E_F): 1.48 states/eV/atom
ΔH_f (0 K): 249 meV/atom
ΔE to the lowest computed polymorph: 0.034 eV/atom

a b c (Å): 10.614 10.614 6.066
angles (deg): 90.00 90.00 90.00
Space group I4mm (No. 107)
Unique sites:
Tb1 0.000 0.000 0.000 (multiplicity 2)
Pm1 0.000 0.000 0.534 (multiplicity 2)
Pm2 0.188 0.188 0.267 (multiplicity 8)
Y1 0.000 0.324 0.774 (multiplicity 8)

***

# 5
Material: CoAgRu
Method: DFT, GGA-PBE
State: optimized geometry

Calculated values
D(E_F): 1.05 states/eV/atom
ΔH_f (0 K): 356 meV/atom
ΔE to the lowest computed polymorph: 0.000 eV/atom

a b c (Å): 2.7132 2.7132 6.7472
angles (deg): 90.00 90.00 120.00
Space group P3m1 (No. 156)
Unique sites:
Co1 0.0000 0.0000 0.0000 (multiplicity 1)
Ag1 0.3333 0.6667 0.6572 (multiplicity 1)
Ru1 0.6667 0.3333 0.2876 (multiplicity 1)

***

# 6
Material: HgS6I3
Method: DFT, GGA-PBE
State: optimized geometry

Calculated values
D(E_F): 1.03 states/eV/atom
Uncorrected formation energy: 190 meV/atom

a b c (Å): 22.7445 22.7445 5.4265
angles (deg): 90.00 90.00 120.00
Space group R-3c (No. 167, hexagonal axes)
Unique sites:
Hg1 0.0000 0.0000 0.0000 (multiplicity 6)
S1 0.0495 0.2307 0.2613 (multiplicity 36)
I1 0.0000 0.4276 0.2500 (multiplicity 18)